Here is Na2TaMoN after structural relaxation from the Alexandria database. Energies are from PBE.

extended XYZ file:
```
5
Lattice="5.706 0.000 0.000 0.000 3.756 0.000 0.000 0.000 5.706" Properties=species:S:1:pos:R:3 pbc="T T T"
Na 0.000 0.000 2.853
Na 2.853 0.000 0.000
Mo 0.000 0.000 0.000
N 0.000 1.878 0.000
Ta 2.853 1.878 2.853
```

Results
As for the total magnetization: 3.9 μB/f.u. As for the density: 4.575 Mg/m³. The value obtained for the energy relative to the elements, uncorrected is 1.649 eV/atom.